(1)
This record from the Alexandria database describes a relaxed CaTbNd14 crystal. The functional is PBE-GGA.

a = 7.1450 Å, b = 7.1450 Å, c = 11.4049 Å
α = 90.00°, β = 90.00°, γ = 104.06°
Closest atoms and distances in Å follow each position.
Atoms (fractional coordinates):
Nd (0.4078, 0.1629, 0.7563)  9 Nd 3.45-3.79, 1 Ca 3.55, 1 Tb 3.85
Nd (0.8371, 0.5922, 0.7563)  9 Nd 3.45-3.79, 1 Ca 3.55, 1 Tb 3.85
Nd (0.0463, 0.3606, 0.0000)  11 Nd 3.50-3.77
Nd (0.9131, 0.0869, 0.2671)  8 Nd 3.45-3.79, 1 Tb 3.62, 1 Ca 3.68
Nd (0.2015, 0.3831, 0.5000)  7 Nd 3.58-3.78, 2 Tb 3.59-3.62, 2 Ca 3.59-3.62
Nd (0.3425, 0.6575, 0.2383)  10 Nd 3.53-3.77, 1 Tb 3.81
Nd (0.4078, 0.1629, 0.2437)  9 Nd 3.45-3.79, 1 Ca 3.55, 1 Tb 3.85
Nd (0.6169, 0.7985, 0.5000)  7 Nd 3.58-3.78, 2 Tb 3.59-3.62, 2 Ca 3.59-3.62
Nd (0.8371, 0.5922, 0.2437)  9 Nd 3.45-3.79, 1 Ca 3.55, 1 Tb 3.85
Nd (0.5497, 0.4503, 0.0000)  10 Nd 3.46-3.76
Nd (0.9131, 0.0869, 0.7329)  8 Nd 3.45-3.79, 1 Tb 3.62, 1 Ca 3.68
Nd (0.3425, 0.6575, 0.7617)  10 Nd 3.53-3.77, 1 Tb 3.81
Nd (0.1271, 0.8729, 0.0000)  12 Nd 3.56-3.88
Nd (0.6394, 0.9537, 0.0000)  11 Nd 3.50-3.77
Ca (0.6867, 0.3133, 0.5000)  10 Nd 3.55-3.68
Tb (0.1316, 0.8684, 0.5000)  12 Nd 3.59-3.85

Calculated values
ΔH_f (0 K)	0.063	eV/atom
magnetization	0.00	Bohr magnetons per cell
space-group type	Amm2
calculated total energy	-4.523	eV per atom

=====

(2)
This record from the Alexandria database describes a relaxed Ca2Tb3Nd6 crystal. The functional is PBE-GGA.

a = 3.6661 Å, b = 3.6661 Å, c = 33.3577 Å
α = 86.85°, β = 86.85°, γ = 60.00°
Closest atoms and distances in Å follow each position.
Atoms (fractional coordinates):
Nd (0.6374, 0.6374, 0.0878)  6 Tb 3.61-3.63, 6 Nd 3.67
Nd (0.3626, 0.3626, 0.9122)  6 Tb 3.61-3.63, 6 Nd 3.67
Nd (0.1811, 0.1811, 0.4567)  9 Nd 3.58-3.67, 3 Ca 3.86
Nd (0.9125, 0.9125, 0.2626)  3 Tb 3.56, 6 Nd 3.67, 3 Ca 3.86
Nd (0.0875, 0.0875, 0.7374)  3 Tb 3.56, 6 Nd 3.67, 3 Ca 3.86
Nd (0.8189, 0.8189, 0.5433)  9 Nd 3.58-3.67, 3 Ca 3.86
Ca (0.4532, 0.4532, 0.6404)  6 Ca 3.67, 6 Nd 3.86
Ca (0.5468, 0.5468, 0.3596)  6 Ca 3.67, 6 Nd 3.86
Tb (0.0000, 0.0000, 0.0000)  6 Nd 3.61, 6 Tb 3.67
Tb (0.2745, 0.2745, 0.1765)  6 Nd 3.56-3.63, 6 Tb 3.67
Tb (0.7255, 0.7255, 0.8235)  6 Nd 3.56-3.63, 6 Tb 3.67

Calculated values
ΔH_f (0 K)	0.026	eV/atom
magnetization	0.00	Bohr magnetons per cell
space-group type	R-3m
calculated total energy	-4.201	eV per atom

=====

(3)
This record from the Alexandria database describes a relaxed Ca2Tb6Nd5 crystal. The functional is PBE-GGA.

a = 3.5926 Å, b = 12.1554 Å, c = 20.6985 Å
α = 90.00°, β = 90.00°, γ = 90.00°
Closest atoms and distances in Å follow each position.
Atoms (fractional coordinates):
Ca (0.0000, 0.3420, 0.2833)  2 Ca 3.59, 6 Nd 3.66-3.92, 4 Tb 3.67-3.91
Ca (0.0000, 0.1580, 0.7833)  2 Ca 3.59, 6 Nd 3.66-3.92, 4 Tb 3.67-3.91
Ca (0.0000, 0.8420, 0.2167)  2 Ca 3.59, 6 Nd 3.66-3.92, 4 Tb 3.67-3.91
Ca (0.0000, 0.6580, 0.7167)  2 Ca 3.59, 6 Nd 3.66-3.92, 4 Tb 3.67-3.91
Tb (0.0000, 0.0706, 0.3606)  6 Nd 3.50-3.74, 4 Tb 3.59-3.60, 1 Ca 3.67
Tb (0.0000, 0.5706, 0.1394)  6 Nd 3.50-3.74, 4 Tb 3.59-3.60, 1 Ca 3.67
Tb (0.0000, 0.4294, 0.8606)  6 Nd 3.50-3.74, 4 Tb 3.59-3.60, 1 Ca 3.67
Tb (0.5000, 0.3166, 0.1187)  2 Nd 3.28-3.32, 4 Tb 3.59-3.60
Tb (0.0000, 0.4443, 0.5757)  5 Tb 3.41-3.75, 6 Nd 3.48-3.69
Tb (0.5000, 0.8166, 0.3813)  2 Nd 3.28-3.32, 4 Tb 3.59-3.60
Tb (0.0000, 0.0557, 0.0757)  5 Tb 3.41-3.75, 6 Nd 3.48-3.69
Tb (0.0000, 0.9443, 0.9243)  5 Tb 3.41-3.75, 6 Nd 3.48-3.69
Tb (0.0000, 0.5557, 0.4243)  5 Tb 3.41-3.75, 6 Nd 3.48-3.69
Tb (0.5000, 0.1834, 0.6187)  2 Nd 3.28-3.32, 4 Tb 3.59-3.60
Tb (0.0000, 0.9294, 0.6394)  6 Nd 3.50-3.74, 4 Tb 3.59-3.60, 1 Ca 3.67
Tb (0.5000, 0.6834, 0.8813)  2 Nd 3.28-3.32, 4 Tb 3.59-3.60
Nd (0.5000, 0.3959, 0.7166)  5 Tb 3.28-3.51, 2 Nd 3.59, 4 Ca 3.66-3.67
Nd (0.5000, 0.6041, 0.2834)  5 Tb 3.28-3.51, 2 Nd 3.59, 4 Ca 3.66-3.67
Nd (0.5000, 0.8959, 0.7834)  5 Tb 3.28-3.51, 2 Nd 3.59, 4 Ca 3.66-3.67
Nd (0.5000, 0.2057, 0.9491)  3 Nd 3.59-3.73, 7 Tb 3.66-3.76, 2 Ca 3.92
Nd (0.5000, 0.7057, 0.5509)  3 Nd 3.59-3.73, 7 Tb 3.66-3.76, 2 Ca 3.92
Nd (0.5000, 0.7943, 0.0509)  3 Nd 3.59-3.73, 7 Tb 3.66-3.76, 2 Ca 3.92
Nd (0.5000, 0.2943, 0.4491)  3 Nd 3.59-3.73, 7 Tb 3.66-3.76, 2 Ca 3.92
Nd (0.5000, 0.1041, 0.2166)  5 Tb 3.28-3.51, 2 Nd 3.59, 4 Ca 3.66-3.67
Nd (0.5000, 0.0000, 0.5000)  6 Tb 3.32-3.50, 2 Nd 3.59
Nd (0.5000, 0.5000, 0.0000)  6 Tb 3.32-3.50, 2 Nd 3.59

Calculated values
ΔH_f (0 K)	0.129	eV/atom
magnetization	0.00	Bohr magnetons per cell
space-group type	Pbam
calculated total energy	-4.150	eV per atom

=====

(4)
This record from the Alexandria database describes a relaxed Ca2Tb2Nd5 crystal. The functional is PBE-GGA.

a = 3.6326 Å, b = 11.0914 Å, c = 8.8415 Å
α = 85.66°, β = 82.73°, γ = 112.64°
Closest atoms and distances in Å follow each position.
Atoms (fractional coordinates):
Nd (0.0000, 0.0000, 0.0000)  6 Nd 3.61-3.89, 2 Tb 3.66, 4 Ca 3.77-3.99
Nd (0.7742, 0.5440, 0.6578)  2 Tb 3.45-3.50, 7 Nd 3.45-3.72, 1 Ca 3.65
Nd (0.0560, 0.7653, 0.2931)  2 Tb 3.47-3.74, 6 Nd 3.54-3.72, 1 Ca 3.75
Nd (0.9440, 0.2347, 0.7069)  2 Tb 3.47-3.74, 6 Nd 3.54-3.72, 1 Ca 3.75
Nd (0.2258, 0.4560, 0.3422)  2 Tb 3.45-3.50, 7 Nd 3.45-3.72, 1 Ca 3.65
Tb (0.5598, 0.3513, 0.0155)  5 Nd 3.45-3.74, 4 Tb 3.48-3.63, 1 Ca 3.61
Tb (0.4402, 0.6487, 0.9845)  5 Nd 3.45-3.74, 4 Tb 3.48-3.63, 1 Ca 3.61
Ca (0.4726, 0.1227, 0.3441)  1 Tb 3.61, 4 Ca 3.63-4.01, 5 Nd 3.65-3.99
Ca (0.5274, 0.8773, 0.6559)  1 Tb 3.61, 4 Ca 3.63-4.01, 5 Nd 3.65-3.99

Calculated values
ΔH_f (0 K)	0.075	eV/atom
magnetization	0.00	Bohr magnetons per cell
space-group type	P-1
calculated total energy	-4.047	eV per atom

=====

(5)
This record from the Alexandria database describes a relaxed CaTbNd2 crystal. The functional is PBE-GGA.

a = 3.6735 Å, b = 3.6735 Å, c = 10.5659 Å
α = 90.00°, β = 90.00°, γ = 90.00°
Closest atoms and distances in Å follow each position.
Atoms (fractional coordinates):
Nd (0.0000, 0.0000, 0.2340)  4 Tb 3.59, 4 Nd 3.67, 4 Ca 3.83
Nd (0.0000, 0.0000, 0.7660)  4 Tb 3.59, 4 Nd 3.67, 4 Ca 3.83
Ca (0.5000, 0.5000, 0.5000)  4 Ca 3.67, 8 Nd 3.83
Tb (0.5000, 0.5000, 0.0000)  8 Nd 3.59, 4 Tb 3.67

Calculated values
ΔH_f (0 K)	0.042	eV/atom
magnetization	0.00	Bohr magnetons per cell
space-group type	P4/mmm
calculated total energy	-4.000	eV per atom
energy above the most stable polymorph in this dataset	8	meV/atom

=====

(6)
This record from the Alexandria database describes a relaxed CaTbNd2 crystal. The functional is PBE-GGA.

a = 5.8594 Å, b = 5.8594 Å, c = 5.8594 Å
α = 60.00°, β = 60.00°, γ = 60.00°
Closest atoms and distances in Å follow each position.
Atoms (fractional coordinates):
Nd (0.2500, 0.2500, 0.2500)  4 Tb 3.59, 4 Ca 3.59
Nd (0.7500, 0.7500, 0.7500)  4 Tb 3.59, 4 Ca 3.59
Tb (0.0000, 0.0000, 0.0000)  8 Nd 3.59
Ca (0.5000, 0.5000, 0.5000)  8 Nd 3.59

Calculated values
ΔH_f (0 K)	0.123	eV/atom
magnetization	0.00	Bohr magnetons per cell
space-group type	Fm-3m
calculated total energy	-3.919	eV per atom
energy above the most stable polymorph in this dataset	89	meV/atom

=====

(7)
This record from the Alexandria database describes a relaxed CaTb7Nd12 crystal. The functional is PBE-GGA.

a = 10.0923 Å, b = 10.0923 Å, c = 10.0923 Å
α = 109.47°, β = 109.47°, γ = 109.47°
Closest atoms and distances in Å follow each position.
Atoms (fractional coordinates):
Nd (0.2572, 0.7434, 0.0005)  2 Tb 2.92
Nd (0.2566, 0.5138, 0.2572)  2 Tb 2.92
Nd (0.2572, 0.2566, 0.5138)  2 Tb 2.92
Nd (0.9995, 0.7428, 0.2566)  2 Tb 2.92
Nd (0.5138, 0.2572, 0.2566)  2 Tb 2.92
Nd (0.0005, 0.2572, 0.7434)  2 Tb 2.92
Nd (0.7428, 0.2566, 0.9995)  2 Tb 2.92
Nd (0.2566, 0.9995, 0.7428)  2 Tb 2.92
Nd (0.7434, 0.0005, 0.2572)  2 Tb 2.92
Nd (0.7434, 0.4862, 0.7428)  2 Tb 2.92
Nd (0.7428, 0.7434, 0.4862)  2 Tb 2.92
Nd (0.4862, 0.7428, 0.7434)  2 Tb 2.92
Tb (0.0000, 0.5000, 0.5000)  12 Nd 4.01-4.13
Tb (0.5000, 0.5000, 0.0000)  12 Nd 4.01-4.13
Tb (0.0000, 0.5000, 0.0000)  6 Nd 2.92
Tb (0.5000, 0.0000, 0.0000)  6 Nd 2.92
Tb (0.5000, 0.0000, 0.5000)  12 Nd 4.01-4.13
Tb (0.5000, 0.5000, 0.5000)  6 Nd 2.92
Tb (0.0000, 0.0000, 0.5000)  6 Nd 2.92
Ca (0.0000, 0.0000, 0.0000)  12 Nd 4.23

Calculated values
ΔH_f (0 K)	0.621	eV/atom
magnetization	0.00	Bohr magnetons per cell
space-group type	Im-3m
calculated total energy	-3.961	eV per atom
energy above the most stable polymorph in this dataset	401	meV/atom

=====

(8)
This record from the Alexandria database describes a relaxed CaTb4Nd5 crystal. The functional is PBE-GGA.

a = 3.6466 Å, b = 3.6466 Å, c = 25.8923 Å
α = 90.00°, β = 90.00°, γ = 90.00°
Closest atoms and distances in Å follow each position.
Atoms (fractional coordinates):
Nd (0.5000, 0.5000, 0.5000)  8 Tb 3.62, 4 Nd 3.65
Nd (0.5000, 0.5000, 0.1091)  4 Tb 3.57, 4 Nd 3.65, 4 Ca 3.82
Nd (0.5000, 0.5000, 0.6959)  8 Tb 3.61-3.65, 4 Nd 3.65
Nd (0.5000, 0.5000, 0.3041)  8 Tb 3.61-3.65, 4 Nd 3.65
Nd (0.5000, 0.5000, 0.8909)  4 Tb 3.57, 4 Nd 3.65, 4 Ca 3.82
Tb (0.0000, 0.0000, 0.4017)  8 Nd 3.61-3.62, 4 Tb 3.65
Tb (0.0000, 0.0000, 0.2045)  8 Nd 3.57-3.65, 4 Tb 3.65
Tb (0.0000, 0.0000, 0.7955)  8 Nd 3.57-3.65, 4 Tb 3.65
Tb (0.0000, 0.0000, 0.5983)  8 Nd 3.61-3.62, 4 Tb 3.65
Ca (0.0000, 0.0000, 0.0000)  4 Ca 3.65, 8 Nd 3.82

Calculated values
ΔH_f (0 K)	0.024	eV/atom
magnetization	0.00	Bohr magnetons per cell
space-group type	P4/mmm
calculated total energy	-4.412	eV per atom